1.
The following is a PBE calculation of a relaxed structure of Zn2HgTe, from the Alexandria database.

- SG = Fm-3m
- E_form (uncorrected) (meV/atom) = 146
- polymorph energy (0 for the lowest one) (meV per atom) = 169
- DOS(E_F) (states/eV/cell) = 1.025

abc: 5.0654 5.0654 5.0654
angles: 60.00 60.00 60.00
Last column: nearest neighbours and their distance in Å.
Fractional coordinates of all 4 atoms:
Zn  0.2500  0.2500  0.2500  4 Hg 3.10, 4 Te 3.10
Zn  0.7500  0.7500  0.7500  4 Hg 3.10, 4 Te 3.10
Te  0.0000  0.0000  0.0000  8 Zn 3.10
Hg  0.5000  0.5000  0.5000  8 Zn 3.10

***

2.
The following is a PBE calculation of a relaxed structure of Cs2MoSBr6, from the Alexandria database.

- SG = I4/mmm
- E_form (uncorrected) (meV/atom) = -735
- DOS(E_F) (states/eV/cell) = 17.229

abc: 7.8911 7.8911 8.2083
angles: 61.27 61.27 90.00
Last column: nearest neighbours and their distance in Å.
Fractional coordinates of all 10 atoms:
Cs  0.7500  0.2500  0.5000  12 Br 3.97-4.11
Cs  0.2500  0.7500  0.5000  12 Br 3.97-4.11
Mo  0.0000  0.0000  0.0000  6 Br 2.57-2.59
S  0.5000  0.5000  0.0000  4 Br 2.99
Br  0.2134  0.2134  0.5732  1 Mo 2.57
Br  0.7866  0.7866  0.4268  1 Mo 2.57
Br  0.2318  0.2318  0.0000  1 Mo 2.59
Br  0.7682  0.7682  0.0000  1 Mo 2.59
Br  0.7682  0.2318  0.0000  1 Mo 2.59
Br  0.2318  0.7682  0.0000  1 Mo 2.59

***

3.
The following is a PBE calculation of a relaxed structure of K3Ce3ErTe8, from the Alexandria database.

- SG = C2/m
- E_form (uncorrected) (meV/atom) = -1332
- DOS(E_F) (states/eV/cell) = 12.855

abc: 9.0827 9.0982 13.3701
angles: 132.75 90.00 119.94
Last column: nearest neighbours and their distance in Å.
Fractional coordinates of all 15 atoms:
K  0.0000  0.0000  0.0000  6 Te 3.59-3.63
K  0.0000  0.5000  0.0000  6 Te 3.55-3.57
K  0.5000  0.5000  0.0000  6 Te 3.55-3.57
Ce  0.5000  0.0000  0.5000  6 Te 3.17
Ce  0.5000  0.5000  0.5000  6 Te 3.15-3.18
Ce  0.0000  0.5000  0.5000  6 Te 3.15-3.18
Er  0.0000  0.0000  0.5000  6 Te 3.09-3.11
Te  0.0231  0.0462  0.2896  1 Er 3.11, 2 Ce 3.18
Te  0.9769  0.9538  0.7104  1 Er 3.11, 2 Ce 3.18
Te  0.5272  0.0544  0.2892  3 Ce 3.15-3.17
Te  0.4728  0.9456  0.7108  3 Ce 3.15-3.17
Te  0.0241  0.5604  0.2931  1 Er 3.09, 2 Ce 3.15-3.17
Te  0.9759  0.4396  0.7069  1 Er 3.09, 2 Ce 3.15-3.17
Te  0.5363  0.5604  0.2931  1 Er 3.09, 2 Ce 3.15-3.17
Te  0.4637  0.4396  0.7069  1 Er 3.09, 2 Ce 3.15-3.17

***

4.
The following is a PBE calculation of a relaxed structure of Nd2Zn7Pd, from the Alexandria database.

- SG = P-4m2
- ΔH_f (0 K) (eV per atom) = -0.37
- DOS(E_F) (states/eV/cell) = 7.558

abc: 4.2619 4.2619 10.5652
angles: 90.00 90.00 90.00
Last column: nearest neighbours and their distance in Å.
Fractional coordinates of all 10 atoms:
Nd  0.5000  0.0000  0.7473  14 Zn 3.25-3.42, 2 Pd 3.42
Nd  0.0000  0.5000  0.2527  14 Zn 3.25-3.42, 2 Pd 3.42
Zn  0.0000  0.5000  0.8650  3 Zn 2.47-2.56, 2 Pd 2.56
Zn  0.5000  0.0000  0.3686  5 Zn 2.47-2.54
Zn  0.5000  0.0000  0.1350  3 Zn 2.47-2.56, 2 Pd 2.56
Zn  0.0000  0.5000  0.6314  5 Zn 2.47-2.54
Zn  0.0000  0.0000  0.5000  4 Zn 2.54
Zn  0.0000  0.0000  0.0000  4 Zn 2.56
Zn  0.5000  0.5000  0.5000  4 Zn 2.54
Pd  0.5000  0.5000  0.0000  4 Zn 2.56

***

5.
The following is a PBE calculation of a relaxed structure of RbMg2NbTl, from the Alexandria database.

- SG = P4/mmm
- ΔH_f (0 K) (eV per atom) = 0.87
- DOS(E_F) (states/eV/cell) = 4.306

abc: 5.5274 5.7427 5.5274
angles: 90.00 90.00 90.00
Last column: nearest neighbours and their distance in Å.
Fractional coordinates of all 5 atoms:
Mg  0.0000  0.0000  0.5000  2 Tl 2.76
Mg  0.5000  0.0000  0.0000  2 Tl 2.76
Tl  0.0000  0.0000  0.0000  4 Mg 2.76, 2 Nb 2.87
Nb  0.0000  0.5000  0.0000  2 Tl 2.87
Rb  0.5000  0.5000  0.5000  4 Nb 3.91, 8 Mg 3.99

***

6.
The following is a PBE calculation of a relaxed structure of Lu3Si13Os4, from the Alexandria database.

- SG = Pm-3n
- E_form (uncorrected) (meV/atom) = -451
- DOS(E_F) (states/eV/cell) = 10.525

abc: 8.7495 8.7495 8.7495
angles: 90.00 90.00 90.00
Last column: nearest neighbours and their distance in Å.
Fractional coordinates of all 40 atoms:
Lu  0.0000  0.5000  0.7500  4 Os 3.09, 12 Si 3.14-3.18
Lu  0.5000  0.2500  0.0000  4 Os 3.09, 12 Si 3.14-3.18
Lu  0.7500  0.0000  0.5000  4 Os 3.09, 12 Si 3.14-3.18
Lu  0.0000  0.5000  0.2500  4 Os 3.09, 12 Si 3.14-3.18
Lu  0.5000  0.7500  0.0000  4 Os 3.09, 12 Si 3.14-3.18
Lu  0.2500  0.0000  0.5000  4 Os 3.09, 12 Si 3.14-3.18
Si  0.5000  0.5000  0.5000  12 Si 2.76
Si  0.0000  0.0000  0.0000  12 Si 2.76
Si  0.7833  0.3619  0.5000  2 Os 2.41, 1 Si 2.42
Si  0.6381  0.5000  0.7833  2 Os 2.41, 1 Si 2.42
Si  0.5000  0.2167  0.6381  2 Os 2.41, 1 Si 2.42
Si  0.2167  0.6381  0.5000  2 Os 2.41, 1 Si 2.42
Si  0.3619  0.5000  0.2167  2 Os 2.41, 1 Si 2.42
Si  0.5000  0.7833  0.3619  2 Os 2.41, 1 Si 2.42
Si  0.7833  0.6381  0.5000  2 Os 2.41, 1 Si 2.42
Si  0.6381  0.5000  0.2167  2 Os 2.41, 1 Si 2.42
Si  0.2167  0.3619  0.5000  2 Os 2.41, 1 Si 2.42
Si  0.3619  0.5000  0.7833  2 Os 2.41, 1 Si 2.42
Si  0.5000  0.7833  0.6381  2 Os 2.41, 1 Si 2.42
Si  0.5000  0.2167  0.3619  2 Os 2.41, 1 Si 2.42
Si  0.2833  0.0000  0.8619  2 Os 2.41, 1 Si 2.42
Si  0.1381  0.2833  0.0000  2 Os 2.41, 1 Si 2.42
Si  0.0000  0.1381  0.7167  2 Os 2.41, 1 Si 2.42
Si  0.7167  0.0000  0.1381  2 Os 2.41, 1 Si 2.42
Si  0.8619  0.7167  0.0000  2 Os 2.41, 1 Si 2.42
Si  0.0000  0.8619  0.2833  2 Os 2.41, 1 Si 2.42
Si  0.2833  0.0000  0.1381  2 Os 2.41, 1 Si 2.42
Si  0.1381  0.7167  0.0000  2 Os 2.41, 1 Si 2.42
Si  0.7167  0.0000  0.8619  2 Os 2.41, 1 Si 2.42
Si  0.8619  0.2833  0.0000  2 Os 2.41, 1 Si 2.42
Si  0.0000  0.1381  0.2833  2 Os 2.41, 1 Si 2.42
Si  0.0000  0.8619  0.7167  2 Os 2.41, 1 Si 2.42
Os  0.7500  0.2500  0.7500  6 Si 2.41
Os  0.2500  0.7500  0.2500  6 Si 2.41
Os  0.7500  0.7500  0.2500  6 Si 2.41
Os  0.2500  0.2500  0.7500  6 Si 2.41
Os  0.2500  0.7500  0.7500  6 Si 2.41
Os  0.7500  0.2500  0.2500  6 Si 2.41
Os  0.2500  0.2500  0.2500  6 Si 2.41
Os  0.7500  0.7500  0.7500  6 Si 2.41